[1]
Entry from Alexandria: a geometry-optimized Zr2ZnSeS structure (PBE-GGA).

Its mass density is 5.109 g/cm³. The total energy comes out at -4.955 eV/atom. As for the energy relative to the elements, uncorrected: 0.241 eV/atom.

The space group is P4/mmm (No. 123) and the conventional cell measures 5.060, 5.060 and 4.557 Å, with angles of 90.00, 90.00 and 90.00 degrees. The distinct sites, in fractional coordinates, are Zr at (0.000, 0.500, 0.000), Zn at (0.000, 0.000, 0.500), Se at (0.000, 0.000, 0.000) and S at (0.500, 0.500, 0.500).

[2]
Entry from Alexandria: a geometry-optimized Zr7SeS12 structure (PBE-GGA).

Its mass density is 3.865 g/cm³. The total energy comes out at -7.077 eV/atom. As for the energy relative to the elements, uncorrected: -1.434 eV/atom.

The space group is R-3 (No. 148, hexagonal axes) and the conventional cell measures 13.5107, 13.5107 and 8.9864 Å, with angles of 90.00, 90.00 and 120.00 degrees. The distinct sites, in fractional coordinates, are Zr at (0.0000, 0.0000, 0.0000), Zr at (0.0540, 0.1909, 0.3153), Se at (0.0000, 0.0000, 0.5000), S at (0.0301, 0.5850, 0.1666) and S at (0.0483, 0.1726, 0.8301).

[3]
Entry from Alexandria: a geometry-optimized Zr2SeS structure (PBE-GGA).

Its mass density is 6.764 g/cm³. For the relative energy among the computed polymorphs, the calculation gives 127.6 meV/atom. The total energy comes out at -7.370 eV/atom. As for the energy relative to the elements, uncorrected: -1.193 eV/atom.

The space group is Fm-3m (No. 225) and the conventional cell measures 6.605, 6.605 and 6.605 Å, with angles of 90.00, 90.00 and 90.00 degrees. The distinct sites, in fractional coordinates, are Zr at (0.250, 0.250, 0.250), Se at (0.000, 0.000, 0.000) and S at (0.000, 0.000, 0.500).

[4]
Entry from Alexandria: a geometry-optimized ZrSe2S structure (PBE-GGA).

Its mass density is 3.946 g/cm³. The total energy comes out at -5.011 eV/atom. As for the energy relative to the elements, uncorrected: -0.100 eV/atom.

The space group is I-42d (No. 122) and the conventional cell measures 6.273, 6.273 and 12.028 Å, with angles of 90.00, 90.00 and 90.00 degrees. The distinct sites, in fractional coordinates, are Zr at (0.000, 0.000, 0.000), Se at (0.223, 0.250, 0.125) and S at (0.000, 0.000, 0.500).

[5]
Entry from Alexandria: a geometry-optimized ZrSe2S2 structure (PBE-GGA).

Its mass density is 4.586 g/cm³. For the relative energy among the computed polymorphs, the calculation gives 365.7 meV/atom. The total energy comes out at -5.050 eV/atom. As for the energy relative to the elements, uncorrected: -0.296 eV/atom.

The space group is P4/mbm (No. 127) and the conventional cell measures 6.962, 6.962 and 4.680 Å, with angles of 90.00, 90.00 and 90.00 degrees. The distinct sites, in fractional coordinates, are Zr at (0.000, 0.000, 0.000), Se at (0.241, 0.259, 0.500) and S at (0.176, 0.676, 0.000).

[6]
Entry from Alexandria: a geometry-optimized Zr2Se2S structure (PBE-GGA).

Its mass density is 6.280 g/cm³. For the relative energy among the computed polymorphs, the calculation gives 194.7 meV/atom. The total energy comes out at -6.861 eV/atom. As for the energy relative to the elements, uncorrected: -1.222 eV/atom.

The space group is P4/mbm (No. 127) and the conventional cell measures 7.313, 7.313 and 3.683 Å, with angles of 90.00, 90.00 and 90.00 degrees. The distinct sites, in fractional coordinates, are Zr at (0.153, 0.347, 0.000), Se at (0.141, 0.641, 0.500) and S at (0.000, 0.000, 0.000).

[7]
Entry from Alexandria: a geometry-optimized Zr4Se5S structure (PBE-GGA).

Its mass density is 5.693 g/cm³. The total energy comes out at -6.941 eV/atom. As for the energy relative to the elements, uncorrected: -1.366 eV/atom.

The space group is C2/m (No. 12) and the conventional cell measures 16.541, 3.776 and 7.560 Å, with angles of 90.00, 101.99 and 90.00 degrees. The distinct sites, in fractional coordinates, are Zr at (0.000, 0.000, 0.229), Zr at (0.157, 0.500, 0.075), Se at (0.000, 0.500, 0.500), Se at (0.165, 0.000, 0.332), Se at (0.172, 0.000, 0.818) and S at (0.000, 0.500, 0.000).

[8]
Entry from Alexandria: a geometry-optimized Zr2SeS2 structure (PBE-GGA).

Its mass density is 4.979 g/cm³. For the relative energy among the computed polymorphs, the calculation gives 16.1 meV/atom. The total energy comes out at -7.246 eV/atom. As for the energy relative to the elements, uncorrected: -1.478 eV/atom.

The space group is Immm (No. 71) and the conventional cell measures 3.723, 5.118 and 11.396 Å, with angles of 90.00, 90.00 and 90.00 degrees. The distinct sites, in fractional coordinates, are Zr at (0.000, 0.000, 0.173), Se at (0.000, 0.500, 0.500) and S at (0.000, 0.500, 0.163).

[9]
Entry from Alexandria: a geometry-optimized Zr6SeS structure (PBE-GGA).

Its mass density is 6.004 g/cm³. The total energy comes out at -7.925 eV/atom. As for the energy relative to the elements, uncorrected: -0.563 eV/atom.

The space group is R-3 (No. 148, hexagonal axes) and the conventional cell measures 6.0317, 6.0317 and 17.3379 Å, with angles of 90.00, 90.00 and 120.00 degrees. The distinct sites, in fractional coordinates, are Zr at (0.0081, 0.3132, 0.2474), Se at (0.0000, 0.0000, 0.0000) and S at (0.0000, 0.0000, 0.5000).

[10]
Entry from Alexandria: a geometry-optimized Zr2SeS structure (PBE-GGA).

Its mass density is 4.746 g/cm³. For the relative energy among the computed polymorphs, the calculation gives 534.8 meV/atom. The total energy comes out at -6.963 eV/atom. As for the energy relative to the elements, uncorrected: -0.786 eV/atom.

The space group is I-42d (No. 122) and the conventional cell measures 5.757, 5.757 and 12.389 Å, with angles of 90.00, 90.00 and 90.00 degrees. The distinct sites, in fractional coordinates, are Zr at (0.223, 0.250, 0.125), Se at (0.000, 0.000, 0.500) and S at (0.000, 0.000, 0.000).

[11]
Entry from Alexandria: a geometry-optimized Zr3SeS5 structure (PBE-GGA).

Its mass density is 3.914 g/cm³. The total energy comes out at -6.889 eV/atom. As for the energy relative to the elements, uncorrected: -1.359 eV/atom.

The space group is C2/m (No. 12) and the conventional cell measures 11.637, 8.703 and 9.639 Å, with angles of 90.00, 116.92 and 90.00 degrees. The distinct sites, in fractional coordinates, are Zr at (0.000, 0.000, 0.000), Zr at (0.000, 0.000, 0.500), Zr at (0.157, 0.500, 0.173), Zr at (0.167, 0.500, 0.666), Se at (0.106, 0.000, 0.805), S at (0.000, 0.303, 0.500), S at (0.074, 0.500, 0.875), S at (0.166, 0.198, 0.170) and S at (0.231, 0.000, 0.532).

[12]
Entry from Alexandria: a geometry-optimized Zr2SeS structure (PBE-GGA).

Its mass density is 6.346 g/cm³. For the relative energy among the computed polymorphs, the calculation gives 0.0 meV/atom. The total energy comes out at -7.498 eV/atom. As for the energy relative to the elements, uncorrected: -1.320 eV/atom.

The space group is R3m (No. 160, hexagonal axes) and the conventional cell measures 3.5415, 3.5415 and 21.2081 Å, with angles of 90.00, 90.00 and 120.00 degrees. The distinct sites, in fractional coordinates, are Zr at (0.0000, 0.0000, 0.0000), Zr at (0.0000, 0.0000, 0.1740), Se at (0.0000, 0.0000, 0.4208) and S at (0.0000, 0.0000, 0.5855).

Look up the mass density of the eleventh one. 3.914 g/cm³